VASP calculation (GGA-PBE) on UNiGeRh after structural relaxation.

Properties
* DOS(E_F): 3.6 states/eV/f.u.
* crystal system: cubic
* energy of formation from the pure elements: -61 kJ/mol of formula units
* total magnetization: 0.69 μB/cell
* space-group type: F-43m (216)
* calculated total energy: -29.67 eV/cell

```
4
Lattice="4.531 0.000 0.000 2.265 3.924 0.000 2.265 1.308 3.699" Properties=species:S:1:pos:R:3 pbc="T T T"
U 0.000 0.000 0.000
Rh 4.531 2.616 1.850
Ge 2.265 1.308 0.925
Ni 6.796 3.924 2.774
```

=====

VASP calculation (GGA-PBE) on UNiGe3Rh after structural relaxation.

Properties
* DOS(E_F): 8.1 states/eV/f.u.
* crystal system: orthorhombic
* energy of formation from the pure elements: -185 kJ/mol of formula units
* total magnetization: 4.03 μB/cell
* space-group type: Cmcm (63)
* calculated total energy: -80.39 eV/cell

```
12
Lattice="-0.895 2.547 -3.219 -2.159 -5.834 -1.274 -7.130 1.881 3.470" Properties=species:S:1:pos:R:3 pbc="T T T"
Ni -5.905 2.492 0.871
Ni -4.279 -3.898 -1.895
Ge -4.548 1.048 -0.648
Ge -5.636 -2.454 -0.375
Ge -4.166 -1.644 -2.884
Ge -1.210 0.167 -2.273
Ge -8.974 -1.573 1.249
Ge -6.018 0.238 1.861
U -7.391 -0.108 -0.773
U -2.793 -1.298 -0.251
Rh -3.565 0.941 1.735
Rh 0.000 0.000 0.000
```

=====

VASP calculation (GGA-PBE) on U2Ni3Ge4Rh after structural relaxation.

Properties
* DOS(E_F): 19.9 states/eV/f.u.
* crystal system: tetragonal
* energy of formation from the pure elements: -422 kJ/mol of formula units
* total magnetization: 4.55 μB/cell
* space-group type: P-4m2 (115)
* calculated total energy: -70.12 eV/cell

```
10
Lattice="4.091 0.000 0.000 0.000 4.091 0.000 0.000 0.000 9.812" Properties=species:S:1:pos:R:3 pbc="T T T"
Ni 0.000 0.000 4.906
Ni 0.000 2.045 1.209
Ni 2.045 0.000 8.603
U 2.045 0.000 2.423
U 0.000 2.045 7.388
Rh 2.045 2.045 4.906
Ge 2.045 2.045 0.000
Ge 2.045 0.000 6.288
Ge 0.000 2.045 3.524
Ge 0.000 0.000 0.000
```

=====

VASP calculation (GGA-PBE) on VNiGeRh after structural relaxation.

Properties
* DOS(E_F): 4.9 states/eV/f.u.
* crystal system: cubic
* energy of formation from the pure elements: -98 kJ/mol of formula units
* total magnetization: 1.37 μB/cell
* space-group type: F-43m (216)
* calculated total energy: -27.88 eV/cell

```
4
Lattice="-0.246 4.012 1.308 -2.751 2.649 -1.812 -3.393 1.319 2.148" Properties=species:S:1:pos:R:3 pbc="T T T"
Ni -3.195 3.990 0.822
V -4.792 5.985 1.232
Ge -1.597 1.995 0.411
Rh 0.000 0.000 0.000
```